Entry 1:
VASP calculation (PBE) on Pm3Ho7Er2 after structural relaxation.

Properties
- space-group type = P2/m
- crystal system = monoclinic
- energy relative to the lowest polymorph listed for this composition (meV/atom) = 0
- E_tot (eV for the cell shown) = -54.4
- DFT formation energy (kJ per mole of atoms) = 9

Lattice parameters (Å, degrees): 5.8031 3.5497 18.7051 90.00 93.12 90.00
Closest atoms and distances in Å follow each position.
Element x y z (fractional)
Pm 0.0000 0.0000 0.0000  8 Ho 3.36-3.40, 2 Pm 3.55
Pm 0.2767 0.5000 0.6334  2 Pm 3.55, 8 Ho 3.65-3.97, 4 Er 3.66-3.68
Pm 0.7233 0.5000 0.3666  2 Pm 3.55, 8 Ho 3.65-3.97, 4 Er 3.66-3.68
Ho 0.1913 0.5000 0.1438  2 Er 3.30, 7 Ho 3.31-3.55, 2 Pm 3.36
Ho 0.2430 0.0000 0.4626  1 Er 3.17, 4 Ho 3.22-3.55
Ho 0.3061 0.0000 0.8233  6 Ho 3.44-3.55, 2 Er 3.61-3.63, 1 Pm 3.84
Ho 0.5000 0.5000 0.0000  4 Ho 3.31-3.55, 4 Pm 3.40
Ho 0.6939 0.0000 0.1767  6 Ho 3.44-3.55, 2 Er 3.61-3.63, 1 Pm 3.84
Ho 0.7570 0.0000 0.5374  1 Er 3.17, 4 Ho 3.22-3.55
Ho 0.8087 0.5000 0.8562  2 Er 3.30, 7 Ho 3.31-3.55, 2 Pm 3.36
Er 0.2120 0.0000 0.2927  3 Ho 3.17-3.30, 2 Er 3.55
Er 0.7880 0.0000 0.7073  3 Ho 3.17-3.30, 2 Er 3.55


Entry 2:
VASP calculation (PBE) on PmHoEr4 after structural relaxation.

Properties
- space-group type = Imma
- crystal system = orthorhombic
- energy relative to the lowest polymorph listed for this composition (meV/atom) = 0
- E_tot (eV for the cell shown) = -54.5
- DFT formation energy (kJ per mole of atoms) = 5

Lattice parameters (Å, degrees): 11.8601 11.8601 11.8601 152.53 40.82 150.40
Closest atoms and distances in Å follow each position.
Element x y z (fractional)
Pm 0.0000 0.0000 0.0000  6 Er 3.32-3.50
Pm 0.5000 0.0000 0.5000  6 Er 3.32-3.50
Ho 0.3269 0.5769 0.7500  10 Er 3.47-3.53, 2 Ho 3.51
Ho 0.6731 0.4231 0.2500  10 Er 3.47-3.53, 2 Ho 3.51
Er 0.0912 0.9225 0.1687  7 Er 3.41-3.61, 4 Ho 3.47-3.53, 1 Pm 3.78
Er 0.1581 0.5666 0.5915  3 Pm 3.32-3.50, 6 Er 3.41-3.59, 1 Ho 3.52
Er 0.2538 0.9225 0.3313  7 Er 3.41-3.61, 4 Ho 3.47-3.53, 1 Pm 3.78
Er 0.4751 0.5666 0.9085  3 Pm 3.32-3.50, 6 Er 3.41-3.59, 1 Ho 3.52
Er 0.5249 0.4334 0.0915  3 Pm 3.32-3.50, 6 Er 3.41-3.59, 1 Ho 3.52
Er 0.7462 0.0775 0.6687  7 Er 3.41-3.61, 4 Ho 3.47-3.53, 1 Pm 3.78
Er 0.8419 0.4334 0.4085  3 Pm 3.32-3.50, 6 Er 3.41-3.59, 1 Ho 3.52
Er 0.9088 0.0775 0.8313  7 Er 3.41-3.61, 4 Ho 3.47-3.53, 1 Pm 3.78


Entry 3:
VASP calculation (PBE) on Pm3Ho8Er2 after structural relaxation.

Properties
- space-group type = C2/m
- crystal system = monoclinic
- E_tot (eV for the cell shown) = -56.9
- DFT formation energy (kJ per mole of atoms) = 23

Lattice parameters (Å, degrees): 8.6138 8.6138 6.9061 105.96 105.96 63.84
Closest atoms and distances in Å follow each position.
Element x y z (fractional)
Pm 0.0000 0.0000 0.0000  6 Ho 3.11-3.41
Pm 0.1756 0.8244 0.5000  1 Pm 3.20, 4 Ho 3.40-3.49
Pm 0.8244 0.1756 0.5000  1 Pm 3.20, 4 Ho 3.40-3.49
Ho 0.1921 0.1921 0.8976  1 Pm 3.11, 1 Er 3.39, 3 Ho 3.40-3.43
Ho 0.2004 0.5613 0.8209  5 Ho 3.29-3.63, 2 Pm 3.41-3.49, 2 Er 3.42-3.44
Ho 0.4150 0.4150 0.2691  6 Ho 3.35-3.63, 2 Pm 3.40, 1 Er 3.44
Ho 0.4387 0.7996 0.1791  5 Ho 3.29-3.63, 2 Pm 3.41-3.49, 2 Er 3.42-3.44
Ho 0.5613 0.2004 0.8209  5 Ho 3.29-3.63, 2 Pm 3.41-3.49, 2 Er 3.42-3.44
Ho 0.5850 0.5850 0.7309  6 Ho 3.35-3.63, 2 Pm 3.40, 1 Er 3.44
Ho 0.7996 0.4387 0.1791  5 Ho 3.29-3.63, 2 Pm 3.41-3.49, 2 Er 3.42-3.44
Ho 0.8079 0.8079 0.1024  1 Pm 3.11, 1 Er 3.39, 3 Ho 3.40-3.43
Er 0.2139 0.2139 0.4238  7 Ho 3.39-3.54, 3 Pm 3.52-3.70
Er 0.7861 0.7861 0.5762  7 Ho 3.39-3.54, 3 Pm 3.52-3.70


Entry 4:
VASP calculation (PBE) on PmHo3Er3 after structural relaxation.

Properties
- space-group type = P6_3/m
- crystal system = hexagonal
- energy relative to the lowest polymorph listed for this composition (meV/atom) = 0
- E_tot (eV for the cell shown) = -64.2
- DFT formation energy (kJ per mole of atoms) = 1

Lattice parameters (Å, degrees): 9.5171 9.5171 5.6327 90.00 90.00 120.00
Closest atoms and distances in Å follow each position.
Element x y z (fractional)
Pm 0.3333 0.6667 0.2500  9 Ho 3.50-3.60, 3 Er 3.61
Pm 0.6667 0.3333 0.7500  9 Ho 3.50-3.60, 3 Er 3.61
Ho 0.0960 0.4766 0.7500  3 Pm 3.50-3.60, 4 Ho 3.51-3.59, 5 Er 3.51-3.62
Ho 0.3805 0.9040 0.7500  3 Pm 3.50-3.60, 4 Ho 3.51-3.59, 5 Er 3.51-3.62
Ho 0.4766 0.3805 0.2500  3 Pm 3.50-3.60, 4 Ho 3.51-3.59, 5 Er 3.51-3.62
Ho 0.5234 0.6195 0.7500  3 Pm 3.50-3.60, 4 Ho 3.51-3.59, 5 Er 3.51-3.62
Ho 0.6195 0.0960 0.2500  3 Pm 3.50-3.60, 4 Ho 3.51-3.59, 5 Er 3.51-3.62
Ho 0.9040 0.5234 0.2500  3 Pm 3.50-3.60, 4 Ho 3.51-3.59, 5 Er 3.51-3.62
Er 0.0481 0.2360 0.2500  6 Er 3.49-3.56, 5 Ho 3.51-3.62, 1 Pm 3.61
Er 0.1879 0.9519 0.2500  6 Er 3.49-3.56, 5 Ho 3.51-3.62, 1 Pm 3.61
Er 0.2360 0.1879 0.7500  6 Er 3.49-3.56, 5 Ho 3.51-3.62, 1 Pm 3.61
Er 0.7640 0.8121 0.2500  6 Er 3.49-3.56, 5 Ho 3.51-3.62, 1 Pm 3.61
Er 0.8121 0.0481 0.7500  6 Er 3.49-3.56, 5 Ho 3.51-3.62, 1 Pm 3.61
Er 0.9519 0.7640 0.7500  6 Er 3.49-3.56, 5 Ho 3.51-3.62, 1 Pm 3.61


Entry 5:
VASP calculation (PBE) on Pm6Ho2Er after structural relaxation.

Properties
- space-group type = Cmmm
- crystal system = orthorhombic
- energy relative to the lowest polymorph listed for this composition (meV/atom) = 45
- E_tot (eV for the cell shown) = -41.1
- DFT formation energy (kJ per mole of atoms) = 13

Lattice parameters (Å, degrees): 9.9722 9.9722 3.6482 90.00 90.00 123.99
Closest atoms and distances in Å follow each position.
Element x y z (fractional)
Pm 0.0110 0.3411 0.0000  6 Pm 3.30-3.65, 2 Ho 3.55
Pm 0.1845 0.1845 0.5000  7 Pm 3.43-3.65, 2 Er 3.47
Pm 0.3411 0.0110 0.0000  6 Pm 3.30-3.65, 2 Ho 3.55
Pm 0.6589 0.9890 0.0000  6 Pm 3.30-3.65, 2 Ho 3.55
Pm 0.8155 0.8155 0.5000  7 Pm 3.43-3.65, 2 Er 3.47
Pm 0.9890 0.6589 0.0000  6 Pm 3.30-3.65, 2 Ho 3.55
Ho 0.3230 0.6770 0.5000  8 Pm 3.55-3.71, 2 Er 3.61, 2 Ho 3.65
Ho 0.6770 0.3230 0.5000  8 Pm 3.55-3.71, 2 Er 3.61, 2 Ho 3.65
Er 0.5000 0.5000 0.0000  4 Pm 3.47, 4 Ho 3.61, 2 Er 3.65


Entry 6:
VASP calculation (PBE) on Pm4Ho8Er3 after structural relaxation.

Properties
- space-group type = C2/m
- crystal system = monoclinic
- energy relative to the lowest polymorph listed for this composition (meV/atom) = 253
- E_tot (eV for the cell shown) = -63.7
- DFT formation energy (kJ per mole of atoms) = 36

Lattice parameters (Å, degrees): 9.2473 9.2473 6.7214 111.16 111.16 87.60
Closest atoms and distances in Å follow each position.
Element x y z (fractional)
Pm 0.0000 0.0000 0.0000  6 Ho 3.26-3.51, 2 Pm 3.36
Pm 0.0000 0.0000 0.5000  2 Pm 3.36, 4 Ho 3.52-3.61
Pm 0.0000 0.5000 0.0000  4 Ho 3.21-3.34, 2 Er 3.36
Pm 0.5000 0.0000 0.0000  4 Ho 3.21-3.34, 2 Er 3.36
Ho 0.2549 0.7451 0.0000  3 Er 3.14-3.35, 3 Pm 3.26-3.34
Ho 0.2668 0.2668 0.5135  3 Er 3.19-3.21, 2 Ho 3.22-3.50, 2 Pm 3.51-3.52
Ho 0.2706 0.2706 0.0383  1 Er 3.20, 3 Pm 3.21-3.49, 4 Ho 3.22-3.55
Ho 0.3621 0.6379 0.5000  7 Ho 3.53-3.63, 4 Er 3.63-3.80, 2 Pm 3.64
Ho 0.6379 0.3621 0.5000  7 Ho 3.53-3.63, 4 Er 3.63-3.80, 2 Pm 3.64
Ho 0.7294 0.7294 0.9617  1 Er 3.20, 3 Pm 3.21-3.49, 4 Ho 3.22-3.55
Ho 0.7332 0.7332 0.4865  3 Er 3.19-3.21, 2 Ho 3.22-3.50, 2 Pm 3.51-3.52
Ho 0.7451 0.2549 0.0000  3 Er 3.14-3.35, 3 Pm 3.26-3.34
Er 0.0000 0.5000 0.5000  4 Ho 3.21-3.35, 2 Pm 3.36
Er 0.5000 0.0000 0.5000  4 Ho 3.21-3.35, 2 Pm 3.36
Er 0.5000 0.5000 0.0000  6 Ho 3.14-3.20


Entry 7:
VASP calculation (PBE) on Pm2HoEr6 after structural relaxation.

Properties
- space-group type = P4_2/mnm
- crystal system = tetragonal
- energy relative to the lowest polymorph listed for this composition (meV/atom) = 0
- E_tot (eV for the cell shown) = -82.5
- DFT formation energy (kJ per mole of atoms) = 2

Lattice parameters (Å, degrees): 10.6015 10.6015 5.0226 90.00 90.00 90.00
Closest atoms and distances in Å follow each position.
Element x y z (fractional)
Pm 0.1665 0.1665 0.0000  10 Er 3.53-3.54, 2 Ho 3.54
Pm 0.3335 0.6665 0.5000  10 Er 3.53-3.54, 2 Ho 3.54
Pm 0.6665 0.3335 0.5000  10 Er 3.53-3.54, 2 Ho 3.54
Pm 0.8335 0.8335 0.0000  10 Er 3.53-3.54, 2 Ho 3.54
Ho 0.0000 0.0000 0.5000  4 Pm 3.54, 8 Er 3.54-3.55
Ho 0.5000 0.5000 0.0000  4 Pm 3.54, 8 Er 3.54-3.55
Er 0.0007 0.3342 0.5000  8 Er 3.52-3.55, 1 Ho 3.54, 3 Pm 3.54
Er 0.1658 0.5007 0.0000  8 Er 3.52-3.55, 1 Ho 3.54, 3 Pm 3.54
Er 0.1669 0.8331 0.0000  6 Er 3.52-3.55, 4 Pm 3.53-3.54, 2 Ho 3.55
Er 0.3331 0.3331 0.5000  6 Er 3.52-3.55, 4 Pm 3.53-3.54, 2 Ho 3.55
Er 0.3342 0.0007 0.5000  8 Er 3.52-3.55, 1 Ho 3.54, 3 Pm 3.54
Er 0.4993 0.8342 0.0000  8 Er 3.52-3.55, 1 Ho 3.54, 3 Pm 3.54
Er 0.5007 0.1658 0.0000  8 Er 3.52-3.55, 1 Ho 3.54, 3 Pm 3.54
Er 0.6658 0.9993 0.5000  8 Er 3.52-3.55, 1 Ho 3.54, 3 Pm 3.54
Er 0.6669 0.6669 0.5000  6 Er 3.52-3.55, 4 Pm 3.53-3.54, 2 Ho 3.55
Er 0.8331 0.1669 0.0000  6 Er 3.52-3.55, 4 Pm 3.53-3.54, 2 Ho 3.55
Er 0.8342 0.4993 0.0000  8 Er 3.52-3.55, 1 Ho 3.54, 3 Pm 3.54
Er 0.9993 0.6658 0.5000  8 Er 3.52-3.55, 1 Ho 3.54, 3 Pm 3.54


Entry 8:
VASP calculation (PBE) on Pm4Ho7Er after structural relaxation.

Properties
- space-group type = P-1
- crystal system = triclinic
- energy relative to the lowest polymorph listed for this composition (meV/atom) = 0
- E_tot (eV for the cell shown) = -54.5
- DFT formation energy (kJ per mole of atoms) = 9

Lattice parameters (Å, degrees): 6.5272 6.8094 9.0691 85.20 77.14 81.88
Closest atoms and distances in Å follow each position.
Element x y z (fractional)
Pm 0.1393 0.3104 0.2836  8 Ho 3.32-3.67, 1 Er 3.38, 2 Pm 3.51-3.52
Pm 0.3380 0.8828 0.6937  7 Ho 3.37-3.68, 2 Pm 3.51-3.52
Pm 0.6620 0.1172 0.3063  7 Ho 3.37-3.68, 2 Pm 3.51-3.52
Pm 0.8607 0.6896 0.7164  8 Ho 3.32-3.67, 1 Er 3.38, 2 Pm 3.51-3.52
Ho 0.0115 0.2530 0.9497  5 Ho 3.36-3.53, 4 Pm 3.38-3.68, 1 Er 3.47
Ho 0.1824 0.8014 0.3586  5 Ho 3.38-3.71, 4 Pm 3.46-3.54
Ho 0.3117 0.3934 0.6159  5 Ho 3.28-3.61, 5 Pm 3.32-3.67
Ho 0.5000 0.0000 0.0000  4 Pm 3.37-3.67, 2 Er 3.40, 4 Ho 3.51-3.71
Ho 0.6883 0.6066 0.3841  5 Ho 3.28-3.61, 5 Pm 3.32-3.67
Ho 0.8176 0.1986 0.6414  5 Ho 3.38-3.71, 4 Pm 3.46-3.54
Ho 0.9885 0.7470 0.0503  5 Ho 3.36-3.53, 4 Pm 3.38-3.68, 1 Er 3.47
Er 0.5000 0.5000 0.0000  2 Pm 3.38, 4 Ho 3.40-3.47